Below is a relaxed structure of PuPa2As2N2, with properties calculated at the GGA-PBE level.

Cell: 3.904 6.380 6.640 Å, 64.39 72.91 72.19°
Element x y z (fractional)
Pu 0.000 0.000 0.000
Pa 0.192 0.360 0.256
Pa 0.808 0.640 0.744
As 0.569 0.211 0.651
As 0.431 0.789 0.349
N 0.214 0.663 0.909
N 0.786 0.337 0.091

## Properties
**Density of states at the Fermi level**: 11.0 states/eV/f.u.
**Formation energy without anion corrections**: -129.7 kJ/mol of atoms
**M_tot**: 6.0 Bohr magnetons per cell
**E_tot**: -9.811 eV per atom

Below is a relaxed structure of NpGe2Sb, with properties calculated at the GGA-PBE level.

Cell: 4.288 4.443 4.443 Å, 90.00 90.00 90.00°
Element x y z (fractional)
Np 0.500 0.500 0.500
Sb 0.500 0.000 0.000
Ge 0.000 0.000 0.500
Ge 0.000 0.500 0.000

## Properties
**Density of states at the Fermi level**: 10.2 states/eV/f.u.
**Formation energy without anion corrections**: -15.6 kJ/mol of atoms
**M_tot**: 3.4 Bohr magnetons per cell
**E_tot**: -6.736 eV per atom

Below is a relaxed structure of AlAs2W, with properties calculated at the GGA-PBE level.

Cell: 4.672 4.672 5.061 Å, 82.78 82.78 41.09°
Element x y z (fractional)
As 0.987 0.987 0.086
As 0.774 0.774 0.665
Al 0.240 0.240 0.262
W 0.499 0.499 0.487

## Properties
**Density of states at the Fermi level**: 2.1 states/eV/f.u.
**Energy of formation**: 212 meV/atom
**M_tot**: 0.0 Bohr magnetons per cell
**E_tot**: -6.287 eV per atom

Below is a relaxed structure of Li3Ac2PuSe6, with properties calculated at the GGA-PBE level.

Cell: 4.307 7.879 9.335 Å, 90.48 103.34 90.00°
Element x y z (fractional)
Li 0.500 0.500 0.000
Li 0.877 0.272 0.755
Li 0.123 0.728 0.245
Ac 0.806 0.744 0.613
Ac 0.194 0.256 0.387
Pu 0.500 0.000 0.000
Se 0.339 0.025 0.678
Se 0.658 0.525 0.316
Se 0.661 0.975 0.322
Se 0.016 0.247 0.032
Se 0.984 0.753 0.968
Se 0.342 0.475 0.684

## Properties
**Density of states at the Fermi level**: 13.0 states/eV/f.u.
**Formation energy without anion corrections**: -154.7 kJ/mol of atoms
**M_tot**: 5.0 Bohr magnetons per cell
**E_tot**: -5.703 eV per atom